The following is a DFT calculation (PBE) of a relaxed Co2Pd2Ru crystal.

Cell lengths 6.157, 6.157, 3.702 Å; angles 90.00, 90.00, 90.00 degrees
Space group P4/mbm (No. 127)
Symmetry-distinct sites (fractional):
1 Co 0.130 0.370 0.000 [4 per cell]
2 Pd 0.169 0.669 0.500 [4 per cell]
3 Ru 0.000 0.000 0.000 [2 per cell]

ΔH_f (0 K) = 0.346 eV per atom
E = -64.282 eV per cell